No. 1
Material: CeLuGaCu
Method: DFT, PBE
State: relaxed

Values from the calculation:
Total magnetic moment   0.6 μB per cell
Crystal system   cubic
Calculated formation energy   -1.3 eV per formula unit

Unit cell a=4.9976 b=4.9976 c=4.9976 alpha=60.00 beta=60.00 gamma=60.00
Last column: nearest neighbours and their distance in Å.
Sites, in units of the cell vectors:
Ce1 0.0000 0.0000 0.0000  4 Cu 3.06, 4 Ga 3.06
Lu1 0.5000 0.5000 0.5000  4 Cu 3.06, 4 Ga 3.06
Ga1 0.7500 0.7500 0.7500  4 Lu 3.06, 4 Ce 3.06
Cu1 0.2500 0.2500 0.2500  4 Lu 3.06, 4 Ce 3.06


No. 2
Material: KPm2Ir
Method: DFT, PBE
State: relaxed

Values from the calculation:
Total magnetic moment   0.0 μB per cell
Polymorph energy (0 for the lowest one)   0.0701 eV per atom
Crystal system   tetragonal
Calculated formation energy   -0.9 eV per formula unit

Unit cell a=3.6110 b=3.6110 c=10.6916 alpha=90.00 beta=90.00 gamma=90.00
Last column: nearest neighbours and their distance in Å.
Sites, in units of the cell vectors:
K1 0.0000 0.0000 0.0000  4 K 3.61
Pm1 0.5000 0.5000 0.3487  4 Ir 3.02, 1 Pm 3.24
Pm2 0.5000 0.5000 0.6513  4 Ir 3.02, 1 Pm 3.24
Ir1 0.0000 0.0000 0.5000  8 Pm 3.02


No. 3
Material: TbHoTm2Te6
Method: DFT, PBE
State: relaxed

Values from the calculation:
Total magnetic moment   0.0 μB per cell
Raw formation energy   -1.345 eV/atom
Crystal system   trigonal

Unit cell a=8.2592 b=8.2592 c=8.2592 alpha=55.15 beta=55.15 gamma=55.15
Last column: nearest neighbours and their distance in Å.
Sites, in units of the cell vectors:
Tb1 0.0000 0.0000 0.0000  6 Te 3.07-3.12
Ho1 0.4995 0.4995 0.4995  6 Te 3.05-3.09
Tm1 0.3144 0.3144 0.3144  6 Te 3.04-3.07
Tm2 0.8147 0.8147 0.8147  6 Te 3.03-3.07
Te1 0.0892 0.7158 0.4133  2 Tm 3.03-3.07, 1 Tb 3.07, 1 Ho 3.09
Te2 0.2186 0.5878 0.9105  2 Tm 3.04-3.07, 1 Ho 3.05, 1 Tb 3.12
Te3 0.4133 0.0892 0.7158  2 Tm 3.03-3.07, 1 Tb 3.07, 1 Ho 3.09
Te4 0.5878 0.9105 0.2186  2 Tm 3.04-3.07, 1 Ho 3.05, 1 Tb 3.12
Te5 0.7158 0.4133 0.0892  2 Tm 3.03-3.07, 1 Tb 3.07, 1 Ho 3.09
Te6 0.9105 0.2186 0.5878  2 Tm 3.04-3.07, 1 Ho 3.05, 1 Tb 3.12


No. 4
Material: Ac3Zn4Ge2
Method: DFT, PBE
State: relaxed

Values from the calculation:
Total magnetic moment   0.0 μB per cell
Crystal system   monoclinic
Calculated formation energy   -4.6 eV per formula unit

Unit cell a=6.3566 b=6.3566 c=8.9385 alpha=99.39 beta=99.39 gamma=40.45
Last column: nearest neighbours and their distance in Å.
Sites, in units of the cell vectors:
Ac1 0.0000 0.0000 0.0000  8 Zn 3.37-3.47, 4 Ge 3.41
Ac2 0.3322 0.3322 0.3382  8 Zn 3.38-3.50, 4 Ge 3.38-3.48
Ac3 0.6678 0.6678 0.6618  8 Zn 3.38-3.50, 4 Ge 3.38-3.48
Zn1 0.0503 0.0503 0.3862  1 Zn 2.54, 2 Ge 2.57
Zn2 0.2715 0.2715 0.9405  2 Zn 2.53, 1 Ge 2.58
Zn3 0.7285 0.7285 0.0595  2 Zn 2.53, 1 Ge 2.58
Zn4 0.9497 0.9497 0.6138  1 Zn 2.54, 2 Ge 2.57
Ge1 0.3872 0.3872 0.7226  3 Zn 2.57-2.58
Ge2 0.6128 0.6128 0.2774  3 Zn 2.57-2.58


No. 5
Material: PaTaTiSn
Method: DFT, PBE
State: relaxed

Values from the calculation:
Total magnetic moment   0.0 μB per cell
Crystal system   cubic
Calculated formation energy   -0.1 eV per formula unit

Unit cell a=4.8471 b=4.8471 c=4.8471 alpha=60.00 beta=60.00 gamma=60.00
Last column: nearest neighbours and their distance in Å.
Sites, in units of the cell vectors:
Pa1 0.0000 0.0000 0.0000  4 Ti 2.97, 4 Ta 2.97
Ta1 0.2500 0.2500 0.2500  4 Sn 2.97, 4 Pa 2.97
Ti1 0.7500 0.7500 0.7500  4 Sn 2.97, 4 Pa 2.97
Sn1 0.5000 0.5000 0.5000  4 Ta 2.97, 4 Ti 2.97


No. 6
Material: TiCrAgS4
Method: DFT, PBE
State: relaxed

Values from the calculation:
Total magnetic moment   12.0 μB per cell
Raw formation energy   -0.754 eV/atom
Polymorph energy (0 for the lowest one)   0.0666 eV per atom
Crystal system   monoclinic

Unit cell a=11.7508 b=3.4432 c=14.1226 alpha=90.00 beta=99.41 gamma=90.00
Last column: nearest neighbours and their distance in Å.
Sites, in units of the cell vectors:
Ti1 0.0000 0.0000 0.0000  5 S 2.27-2.45
Ti2 0.1770 0.0000 0.3931  6 S 2.35-2.48
Ti3 0.5050 0.5000 0.0149  5 S 2.22-2.44
Ti4 0.7260 0.0000 0.4704  5 S 2.20-2.45
Cr1 0.0869 0.5000 0.1905  6 S 2.40-2.42
Cr2 0.2657 0.5000 0.6106  6 S 2.33-2.60
Cr3 0.5427 0.0000 0.8287  6 S 2.37-2.45
Cr4 0.6404 0.5000 0.6445  6 S 2.34-2.45
Ag1 0.2048 0.5000 0.8483  3 S 2.48-2.70
Ag2 0.4669 0.5000 0.2579  4 S 2.54-2.79
Ag3 0.7779 0.0000 0.2247  4 S 2.62-2.80
Ag4 0.9834 0.0000 0.6330  3 S 2.42-2.59
S1 0.0023 0.0000 0.2744  2 Cr 2.40, 1 Ti 2.43, 1 Ag 2.62
S2 0.0055 0.5000 0.8853  2 Ti 2.37, 1 Ag 2.48
S3 0.0990 0.5000 0.4846  2 Ti 2.42, 1 Cr 2.42
S4 0.1704 0.0000 0.1026  1 Ti 2.27, 2 Cr 2.42
S5 0.1871 0.0000 0.6994  2 Cr 2.40, 1 Ag 2.42
S6 0.2664 0.5000 0.3024  1 Cr 2.42, 2 Ti 2.48, 1 Ag 2.54
S7 0.3310 0.0000 0.5218  2 Cr 2.33, 1 Ti 2.35
S8 0.3868 0.0000 0.9250  2 Ti 2.43, 1 Cr 2.45
S9 0.4670 0.5000 0.7187  4 Cr 2.39-2.60
S10 0.5609 0.0000 0.1359  2 Ti 2.44, 1 Ag 2.65
S11 0.5652 0.0000 0.5317  1 Ti 2.20, 2 Cr 2.41
S12 0.6483 0.5000 0.9299  1 Ti 2.22, 2 Cr 2.44
S13 0.6857 0.5000 0.3492  2 Ti 2.42, 1 Ag 2.68
S14 0.7072 0.0000 0.7517  3 Cr 2.34-2.37
S15 0.8210 0.5000 0.5796  1 Cr 2.45, 2 Ti 2.45, 2 Ag 2.59
S16 0.9056 0.5000 0.0830  1 Cr 2.41, 2 Ti 2.45


No. 7
Material: LaY2TiP
Method: DFT, PBE
State: relaxed

Values from the calculation:
Total magnetic moment   0.0 μB per cell
Crystal system   tetragonal
Calculated formation energy   5.5 eV per formula unit

Unit cell a=5.5736 b=5.5736 c=4.6245 alpha=90.00 beta=90.00 gamma=90.00
Last column: nearest neighbours and their distance in Å.
Sites, in units of the cell vectors:
La1 0.0000 0.0000 0.0000  2 Ti 2.31
Y1 0.0000 0.5000 0.0000  2 La 2.79
Y2 0.5000 0.0000 0.0000  2 La 2.79
Ti1 0.0000 0.0000 0.5000  2 La 2.31
P1 0.5000 0.5000 0.5000  8 Y 3.62, 4 Ti 3.94


No. 8
Material: Zn2BiCl2
Method: DFT, PBE
State: relaxed

Values from the calculation:
Total magnetic moment   0.0 μB per cell
Raw formation energy   0.054 eV/atom
Polymorph energy (0 for the lowest one)   0.1974 eV per atom
Crystal system   tetragonal

Unit cell a=8.0603 b=8.0603 c=3.6626 alpha=90.00 beta=90.00 gamma=90.00
Last column: nearest neighbours and their distance in Å.
Sites, in units of the cell vectors:
Zn1 0.1713 0.3287 0.0000  2 Cl 2.80
Zn2 0.3287 0.8287 0.0000  2 Cl 2.80
Zn3 0.6713 0.1713 0.0000  2 Cl 2.80
Zn4 0.8287 0.6713 0.0000  2 Cl 2.80
Bi1 0.0000 0.0000 0.5000  4 Cl 3.10
Bi2 0.5000 0.5000 0.5000  4 Cl 3.10
Cl1 0.1432 0.6432 0.5000  2 Zn 2.80, 2 Bi 3.10
Cl2 0.3568 0.1432 0.5000  2 Zn 2.80, 2 Bi 3.10
Cl3 0.6432 0.8568 0.5000  2 Zn 2.80, 2 Bi 3.10
Cl4 0.8568 0.3568 0.5000  2 Zn 2.80, 2 Bi 3.10


No. 9
Material: CrInAs2
Method: DFT, PBE
State: relaxed

Values from the calculation:
Total magnetic moment   3.6 μB per cell
Crystal system   orthorhombic
Calculated formation energy   1.2 eV per formula unit

Unit cell a=3.6881 b=4.5863 c=4.6079 alpha=90.00 beta=90.00 gamma=90.00
Last column: nearest neighbours and their distance in Å.
Sites, in units of the cell vectors:
Cr1 0.0000 0.0000 0.0000  8 As 2.94-2.95, 4 In 3.25
In1 0.0000 0.5000 0.5000  8 As 2.94-2.95, 4 Cr 3.25
As1 0.5000 0.0000 0.5000  4 In 2.94, 4 Cr 2.95, 4 As 3.25
As2 0.5000 0.5000 0.0000  4 Cr 2.94, 4 In 2.95, 4 As 3.25


No. 10
Material: OsRuW
Method: DFT, PBE
State: relaxed

Values from the calculation:
Total magnetic moment   0.0 μB per cell
Polymorph energy (0 for the lowest one)   0.0670 eV per atom
Crystal system   hexagonal
Calculated formation energy   0.3 eV per formula unit

Unit cell a=4.3940 b=4.3940 c=5.4257 alpha=90.00 beta=90.00 gamma=120.00
Last column: nearest neighbours and their distance in Å.
Sites, in units of the cell vectors:
Os1 0.3333 0.6667 0.2500  5 W 2.54-2.71
Os2 0.6667 0.3333 0.7500  5 W 2.54-2.71
Ru1 0.0000 0.0000 0.0000  2 Ru 2.71, 6 W 2.88, 6 Os 2.88
Ru2 0.0000 0.0000 0.5000  2 Ru 2.71, 6 Os 2.88, 6 W 2.88
W1 0.3333 0.6667 0.7500  5 Os 2.54-2.71
W2 0.6667 0.3333 0.2500  5 Os 2.54-2.71


No. 11
Material: Pm2DyIn2
Method: DFT, PBE
State: relaxed

Values from the calculation:
Total magnetic moment   0.0 μB per cell
Polymorph energy (0 for the lowest one)   0.0539 eV per atom
Crystal system   orthorhombic
Calculated formation energy   -1.6 eV per formula unit

Unit cell a=8.8399 b=8.8399 c=6.6325 alpha=90.00 beta=90.00 gamma=145.70
Last column: nearest neighbours and their distance in Å.
Sites, in units of the cell vectors:
Pm1 0.0151 0.9849 0.5000  3 In 3.16-3.35, 2 Pm 3.36, 2 Dy 3.52
Pm2 0.2010 0.7990 0.9612  4 In 3.09-3.32
Pm3 0.7990 0.2010 0.4612  4 In 3.09-3.32
Pm4 0.9849 0.0151 0.0000  3 In 3.16-3.35, 2 Pm 3.36, 2 Dy 3.52
Dy1 0.3958 0.6042 0.7258  5 In 3.23-3.45, 6 Pm 3.52-3.62
Dy2 0.6042 0.3958 0.2258  5 In 3.23-3.45, 6 Pm 3.52-3.62
In1 0.2013 0.7987 0.4617  5 Pm 3.09-3.32, 2 Dy 3.45
In2 0.4029 0.5971 0.2388  3 Dy 3.23-3.40, 4 Pm 3.35-3.47
In3 0.5971 0.4029 0.7388  3 Dy 3.23-3.40, 4 Pm 3.35-3.47
In4 0.7987 0.2013 0.9617  5 Pm 3.09-3.32, 2 Dy 3.45


No. 12
Material: MnTc2Ag
Method: DFT, PBE
State: relaxed

Values from the calculation:
Total magnetic moment   2.9 μB per cell
Polymorph energy (0 for the lowest one)   0.2056 eV per atom
Crystal system   tetragonal
Calculated formation energy   1.8 eV per formula unit

Unit cell a=4.9890 b=4.9890 c=4.9890 alpha=135.75 beta=135.75 gamma=64.37
Last column: nearest neighbours and their distance in Å.
Sites, in units of the cell vectors:
Mn1 0.0000 0.0000 0.0000  4 Ag 2.66, 8 Tc 2.83
Tc1 0.2500 0.7500 0.5000  4 Tc 2.66, 4 Mn 2.83, 4 Ag 2.83
Tc2 0.7500 0.2500 0.5000  4 Tc 2.66, 4 Mn 2.83, 4 Ag 2.83
Ag1 0.5000 0.5000 0.0000  4 Mn 2.66, 8 Tc 2.83


total magnetic moment of number 12 (MnTc2Ag)?
2.9 μB per cell